## SmThIn (PBE)

Data for SmThIn after structural relaxation.

Cell: 9.272 9.272 9.272 Å, 150.69 150.69 41.93°
Element x y z (fractional)
Sm (0.178, 0.178, 0.000)
Sm (0.822, 0.822, 0.000)
Th (0.000, 0.500, 0.500)
Th (0.500, 0.000, 0.500)
In (0.362, 0.362, 0.000)
In (0.638, 0.638, 0.000)

Values from the calculation:
space-group type	I4/mmm
E above lowest polymorph	0	meV per atom
crystal system	tetragonal
ΔE_f	-0.656	eV per formula unit

## Sm8ThIn2 (PBE)

Data for Sm8ThIn2 after structural relaxation.

Cell: 9.280 9.280 6.176 Å, 102.09 102.09 42.15°
Element x y z (fractional)
Sm (0.003, 0.003, 0.243)
Sm (0.064, 0.586, 0.379)
Sm (0.374, 0.374, 0.921)
Sm (0.414, 0.936, 0.621)
Sm (0.586, 0.064, 0.379)
Sm (0.626, 0.626, 0.079)
Sm (0.936, 0.414, 0.621)
Sm (0.997, 0.997, 0.757)
Th (0.500, 0.500, 0.500)
In (0.177, 0.177, 0.106)
In (0.823, 0.823, 0.894)

Values from the calculation:
space-group type	C2/m
crystal system	monoclinic
ΔE_f	-0.970	eV per formula unit

## Sm6ThIn (PBE)

Data for Sm6ThIn after structural relaxation.

Cell: 4.999 4.999 10.126 Å, 90.00 90.00 90.00°
Element x y z (fractional)
Sm (0.000, 0.000, 0.000)
Sm (0.000, 0.000, 0.500)
Sm (0.000, 0.500, 0.247)
Sm (0.000, 0.500, 0.753)
Sm (0.500, 0.000, 0.247)
Sm (0.500, 0.000, 0.753)
Th (0.500, 0.500, 0.500)
In (0.500, 0.500, 0.000)

Values from the calculation:
space-group type	P4/mmm
crystal system	tetragonal
ΔE_f	-0.758	eV per formula unit

## Sm2ThIn (PBE)

Data for Sm2ThIn after structural relaxation.

Cell: 3.635 3.635 9.145 Å, 90.00 90.00 90.00°
Element x y z (fractional)
Sm (0.000, 0.000, 0.233)
Sm (0.000, 0.000, 0.767)
Th (0.500, 0.500, 0.500)
In (0.500, 0.500, 0.000)

Values from the calculation:
space-group type	P4/mmm
E above lowest polymorph	0	meV per atom
crystal system	tetragonal
ΔE_f	-0.936	eV per formula unit